Entry from Alexandria via LeMat-Bulk: a relaxed MnPtS2 crystal (GGA-PBE).

Values from the calculation:
The density of states at the Fermi level is 4.2 states/eV/cell. The calculation puts the electronic total energy at -6.05 eV per atom. The energy relative to the lowest polymorph listed for this composition comes out at 198 meV/atom. The uncorrected formation energy comes out at -0.186 eV/atom. The value obtained for the total moment is 0.2302 μB per atom.

Cell: 5.296 5.296 6.267 Å, 65.01 65.01 90.00°
Fractional positions:
S1 0.875 0.842 0.750
S2 0.375 0.408 0.750
S3 0.592 0.125 0.250
S4 0.158 0.625 0.250
Mn1 0.500 0.500 0.000
Mn2 0.250 0.750 0.500
Pt1 0.000 0.000 0.000
Pt2 0.750 0.250 0.500

Entry from Alexandria via LeMat-Bulk: a relaxed ReB3Os crystal (GGA-PBE).

Values from the calculation:
The density of states at the Fermi level is 5.2 states/eV/cell. The calculation puts the electronic total energy at -7.08 eV per atom. The value obtained for the formation enthalpy at 0 K is 1.658 eV/atom. The energy relative to the lowest polymorph listed for this composition comes out at 0 meV/atom. The value obtained for the total moment is 0.4929 μB per atom.

Cell: 4.009 4.009 4.009 Å, 90.00 90.00 90.00°
Fractional positions:
Re1 0.500 0.500 0.500
B1 0.500 0.000 0.000
B2 0.000 0.000 0.500
B3 0.000 0.500 0.000
Os1 0.000 0.000 0.000

Entry from Alexandria via LeMat-Bulk: a relaxed Ac2AsPt6Au crystal (GGA-PBE).

Values from the calculation:
The density of states at the Fermi level is 3.5 states/eV/cell. The calculation puts the electronic total energy at -6.01 eV per atom. The value obtained for the formation enthalpy at 0 K is -0.775 eV/atom. The value obtained for the total moment is 0.0000 μB per atom.

Cell: 6.686 7.117 8.797 Å, 48.27 52.60 82.37°
Fractional positions:
Ac1 0.734 0.266 0.536
Ac2 0.266 0.734 0.464
Pt1 0.751 0.759 0.512
Pt2 0.249 0.750 0.851
Pt3 0.242 0.249 0.022
Pt4 0.758 0.751 0.978
Pt5 0.751 0.250 0.149
Pt6 0.249 0.241 0.488
As1 0.500 0.500 0.000
Au1 0.000 0.000 0.000

- Among the records above, which one has the highest density of states at the Fermi level?
  ReB3Os

- Which of these has the highest density of states at the Fermi level?
  ReB3Os

- Among the records above, which one has the highest electronic total energy?
  Ac2AsPt6Au

- Among the records above, which one has the lowest density of states at the Fermi level?
  Ac2AsPt6Au